First-principles (PBE) data for a geometry-optimized MgNb2Co2 structure, as listed in Alexandria via LeMat-Bulk.

Values from the calculation:
* DFT formation energy: -0.09 eV per atom
* DOS at the Fermi energy: 3.6 states/eV/cell
* ΔE to the lowest computed polymorph: 0.0 kJ per mole of atoms

a = 7.107 Å, b = 7.107 Å, c = 3.023 Å
α = 90.00°, β = 90.00°, γ = 90.00°
Element x y z (fractional)
Mg (0.000, 0.000, 0.000)
Mg (0.500, 0.500, 0.000)
Nb (0.168, 0.332, 0.500)
Nb (0.332, 0.832, 0.500)
Nb (0.668, 0.168, 0.500)
Nb (0.832, 0.668, 0.500)
Co (0.128, 0.628, 0.000)
Co (0.372, 0.128, 0.000)
Co (0.628, 0.872, 0.000)
Co (0.872, 0.372, 0.000)

First-principles (PBE) data for a geometry-optimized MgNbCo2 structure, as listed in Alexandria via LeMat-Bulk.

Values from the calculation:
* DFT formation energy: 0.43 eV per atom
* DOS at the Fermi energy: 4.7 states/eV/cell

a = 5.471 Å, b = 5.471 Å, c = 5.471 Å
α = 104.92°, β = 104.92°, γ = 119.02°
Element x y z (fractional)
Mg (0.000, 0.000, 0.000)
Mg (0.750, 0.250, 0.500)
Nb (0.250, 0.750, 0.500)
Nb (0.500, 0.500, 0.000)
Co (0.149, 0.125, 0.524)
Co (0.375, 0.851, 0.976)
Co (0.601, 0.625, 0.476)
Co (0.875, 0.399, 0.024)

First-principles (PBE) data for a geometry-optimized Mg2NbCo structure, as listed in Alexandria via LeMat-Bulk.

Values from the calculation:
* DFT formation energy: 0.53 eV per atom
* DOS at the Fermi energy: 18.9 states/eV/cell
* ΔE to the lowest computed polymorph: 0.0 kJ per mole of atoms

a = 4.531 Å, b = 4.531 Å, c = 4.531 Å
α = 60.00°, β = 60.00°, γ = 60.00°
Element x y z (fractional)
Mg (0.250, 0.250, 0.250)
Mg (0.750, 0.750, 0.750)
Nb (0.000, 0.000, 0.000)
Co (0.500, 0.500, 0.500)

First-principles (PBE) data for a geometry-optimized Mg14NbCo structure, as listed in Alexandria via LeMat-Bulk.

Values from the calculation:
* DFT formation energy: 0.12 eV per atom
* DOS at the Fermi energy: 9.3 states/eV/cell
* ΔE to the lowest computed polymorph: 0.7 kJ per mole of atoms

a = 6.255 Å, b = 6.255 Å, c = 9.842 Å
α = 90.00°, β = 90.00°, γ = 120.00°
Element x y z (fractional)
Mg (0.000, 0.000, 0.242)
Mg (0.000, 0.000, 0.758)
Mg (0.019, 0.509, 0.257)
Mg (0.019, 0.509, 0.743)
Mg (0.330, 0.165, 0.500)
Mg (0.341, 0.170, 0.000)
Mg (0.491, 0.509, 0.257)
Mg (0.491, 0.509, 0.743)
Mg (0.491, 0.981, 0.257)
Mg (0.491, 0.981, 0.743)
Mg (0.830, 0.170, 0.000)
Mg (0.830, 0.659, 0.000)
Mg (0.835, 0.165, 0.500)
Mg (0.835, 0.670, 0.500)
Nb (0.333, 0.667, 0.000)
Co (0.333, 0.667, 0.500)